[1]
DFT (PBE-GGA) results for a relaxed RbCeEr4S8 crystal.

POSCAR file:
```
RbCeEr4S8
1.0
4.0938 2.3636 6.8982
-4.0938 2.3636 6.8982
0.0000 -4.7271 6.8982
Rb Ce Er S
1 1 4 8
Cartesian
0.0000 0.0000 0.0000
0.0000 0.0000 13.1144
-2.1174 -1.2225 9.5502
0.0000 0.0000 5.2752
2.1174 -1.2225 9.5501
0.0000 2.4450 9.5501
0.0000 -2.2728 11.1960
-1.9683 1.1364 11.1960
0.0000 0.0000 7.9912
-1.7660 -1.0196 14.9621
0.0000 0.0000 17.7787
1.9683 1.1364 11.1960
1.7660 -1.0196 14.9621
0.0000 2.0392 14.9621
```

Results
E_tot (eV for the cell shown): -84.339



[2]
DFT (PBE-GGA) results for a relaxed La3Y4Er3 crystal.

POSCAR file:
```
La3Y4Er3
1.0
3.7109 0.0000 0.0000
0.0000 6.7055 6.7968
0.0000 -6.7055 6.7968
La Y Er
3 4 3
Cartesian
0.0000 0.0000 0.0000
0.0000 -2.3448 9.1514
0.0000 2.3448 9.1514
1.8554 -1.6601 2.4272
1.8554 1.6601 2.4272
1.8554 0.0000 7.4249
1.8554 0.0000 10.8714
0.0000 0.0000 4.7387
1.8554 -3.2530 5.7155
1.8554 3.2530 5.7155
```

Results
Formation enthalpy at 0 K (meV per atom): 127
E_tot (eV for the cell shown): -53.055



[3]
DFT (PBE-GGA) results for a relaxed La7Sm5 crystal.

POSCAR file:
```
La7Sm5
1.0
9.6709 -1.8559 0.0000
9.6709 1.8559 0.0000
-6.4454 0.0000 11.9469
La Sm
7 5
Cartesian
0.0000 0.0000 0.0000
-2.1258 0.0000 8.9800
-0.0033 0.0000 6.0001
4.3227 0.0000 8.9599
8.5737 0.0000 2.9870
12.8998 0.0000 5.9468
15.0223 0.0000 2.9669
2.1169 0.0000 2.9737
-0.0033 0.0000 11.8981
6.4482 0.0000 5.9735
12.8998 0.0000 0.0488
10.7796 0.0000 8.9732
```

Results
Formation enthalpy at 0 K (meV per atom): 13
Relative energy among the computed polymorphs (eV/atom): 0.000
E_tot (eV for the cell shown): -57.930



[4]
DFT (PBE-GGA) results for a relaxed TaSN crystal.

POSCAR file:
```
TaSN
1.0
-1.4842 1.4842 4.4157
1.4842 -1.4842 4.4157
1.4842 1.4842 -4.4157
Ta S N
1 1 1
Cartesian
0.0000 0.0000 0.0000
0.0000 0.0000 2.7166
0.0000 0.0000 5.0779
```

Results
Relative energy among the computed polymorphs (eV/atom): 0.610
E_tot (eV for the cell shown): -25.312



[5]
DFT (PBE-GGA) results for a relaxed Ba2InGeSe5 crystal.

POSCAR file:
```
Ba2InGeSe5
1.0
2.1539 -9.7497 0.0000
2.1539 9.7497 0.0000
0.0000 0.0000 12.9224
Ba In Ge Se
4 2 2 10
Cartesian
2.1539 7.5035 6.4612
2.1539 7.2935 1.4722
2.1539 -7.2935 7.9334
2.1539 -7.5035 0.0000
2.1539 1.3044 3.4698
2.1539 -1.3044 9.9311
2.1539 5.2842 10.7804
2.1539 -5.2842 4.3192
2.1539 8.9012 11.3629
2.1539 4.2395 6.0108
2.1539 3.8215 2.5147
2.1539 2.8515 10.4615
2.1539 0.0454 1.2057
2.1539 -0.0454 7.6669
2.1539 -2.8515 4.0003
2.1539 -3.8215 8.9759
2.1539 -4.2395 12.4720
2.1539 -8.9012 4.9017
```

Results
E_tot (eV for the cell shown): -77.240



[6]
DFT (PBE-GGA) results for a relaxed Sr2SO crystal.

POSCAR file:
```
Sr2SO
1.0
1.9821 1.1444 6.5720
-1.9821 1.1444 6.5720
0.0000 -2.2887 6.5720
Sr S O
2 1 1
Cartesian
0.0000 0.0000 4.7262
0.0000 0.0000 14.9897
0.0000 0.0000 0.0000
0.0000 0.0000 9.8580
```

Results
Relative energy among the computed polymorphs (eV/atom): 0.000
E_tot (eV for the cell shown): -21.805



[7]
DFT (PBE-GGA) results for a relaxed SiAu4Br crystal.

POSCAR file:
```
SiAu4Br
1.0
0.0000 3.9511 3.9511
3.9511 0.0000 3.9511
3.9511 3.9511 0.0000
Si Au Br
1 4 1
Cartesian
0.0000 0.0000 0.0000
4.9407 2.9615 2.9615
2.9615 4.9407 2.9615
2.9615 2.9615 4.9407
4.9407 4.9407 4.9407
1.9756 1.9756 1.9756
```

Results
E_tot (eV for the cell shown): -18.023



[8]
DFT (PBE-GGA) results for a relaxed LiYHoTl crystal.

POSCAR file:
```
LiYHoTl
1.0
0.0000 3.7306 3.7306
3.7306 0.0000 3.7306
3.7306 3.7306 0.0000
Li Y Ho Tl
1 1 1 1
Cartesian
0.0000 0.0000 0.0000
5.5959 5.5959 5.5959
1.8653 1.8653 1.8653
3.7306 3.7306 3.7306
```

Results
Formation enthalpy at 0 K (meV per atom): -210
E_tot (eV for the cell shown): -16.163



[9]
DFT (PBE-GGA) results for a relaxed Li2NbV3N6 crystal.

POSCAR file:
```
Li2NbV3N6
1.0
2.5149 -4.3793 0.0000
2.5149 4.3793 0.0000
-1.6305 0.0000 4.9003
Li Nb V N
2 1 3 6
Cartesian
2.5149 2.9442 0.0000
2.5149 -2.9442 0.0000
2.5149 0.0000 0.0000
-0.8153 0.0000 2.4501
1.6997 1.5893 2.4501
1.6997 -1.5893 2.4501
0.0277 1.4697 3.6186
0.8582 0.0000 1.3353
0.0277 -1.4697 3.6186
3.3716 1.4697 1.2817
2.5411 0.0000 3.5650
3.3716 -1.4697 1.2817
```

Results
E_tot (eV for the cell shown): -103.040



[10]
DFT (PBE-GGA) results for a relaxed Li2LaGe2 crystal.

POSCAR file:
```
Li2LaGe2
1.0
-2.1372 2.1372 5.6280
2.1372 -2.1372 5.6280
2.1372 2.1372 -5.6280
Li La Ge
2 1 2
Cartesian
2.1372 0.0000 2.8140
0.0000 2.1372 2.8140
0.0000 0.0000 0.0000
0.0000 0.0000 4.3835
0.0000 0.0000 6.8725
```

Results
Formation enthalpy at 0 K (meV per atom): -609
Relative energy among the computed polymorphs (eV/atom): 0.000
E_tot (eV for the cell shown): -21.036



[11]
DFT (PBE-GGA) results for a relaxed Hf2MgZn crystal.

POSCAR file:
```
Hf2MgZn
1.0
4.3358 0.0000 0.0000
0.0000 4.3358 0.0000
0.0000 0.0000 4.1731
Hf Mg Zn
2 1 1
Cartesian
0.0000 2.1679 0.0000
2.1679 0.0000 0.0000
0.0000 0.0000 2.0866
2.1679 2.1679 2.0866
```

Results
Formation enthalpy at 0 K (meV per atom): 33
Relative energy among the computed polymorphs (eV/atom): 0.013
E_tot (eV for the cell shown): -22.643



[12]
DFT (PBE-GGA) results for a relaxed Nd2BiBr crystal.

POSCAR file:
```
Nd2BiBr
1.0
0.0000 3.8775 3.8775
3.8775 0.0000 3.8775
3.8775 3.8775 0.0000
Nd Bi Br
2 1 1
Cartesian
1.9387 1.9387 1.9387
5.8162 5.8162 5.8162
0.0000 0.0000 0.0000
3.8775 3.8775 3.8775
```

Results
Relative energy among the computed polymorphs (eV/atom): 0.000
E_tot (eV for the cell shown): -19.026



[13]
DFT (PBE-GGA) results for a relaxed SnI crystal.

POSCAR file:
```
SnI
1.0
4.4776 0.0000 0.0000
0.0000 15.0806 0.0000
0.0000 0.0000 7.4793
Sn I
6 6
Cartesian
1.1194 2.1208 0.8335
1.1194 5.4195 0.8335
1.1194 11.3104 0.5313
3.3582 3.7702 6.9479
3.3582 9.6611 6.6458
3.3582 12.9598 6.6458
1.1194 3.7702 3.3835
1.1194 8.0515 1.9015
1.1194 14.5694 1.9015
3.3582 0.5112 5.5777
3.3582 7.0291 5.5777
3.3582 11.3104 4.0957
```

Results
E_tot (eV for the cell shown): -34.826



[14]
DFT (PBE-GGA) results for a relaxed MgCoAg2 crystal.

POSCAR file:
```
MgCoAg2
1.0
1.4484 0.8362 9.1221
-1.4484 0.8362 9.1221
0.0000 -1.6724 9.1221
Mg Co Ag
1 1 2
Cartesian
0.0000 0.0000 0.0000
0.0000 0.0000 13.6831
0.0000 0.0000 6.7461
0.0000 0.0000 20.6200
```

Results
Formation enthalpy at 0 K (meV per atom): 236
E_tot (eV for the cell shown): -13.457



[15]
DFT (PBE-GGA) results for a relaxed K2MgNb2 crystal.

POSCAR file:
```
K2MgNb2
1.0
10.7815 0.0000 0.0000
0.0000 10.7815 0.0000
0.0000 0.0000 3.0714
K Mg Nb
4 2 4
Cartesian
2.2776 3.1132 0.0000
3.1132 8.5039 0.0000
7.6683 2.2776 0.0000
8.5039 7.6683 0.0000
0.0000 0.0000 0.0000
5.3907 5.3907 0.0000
0.7937 6.1845 1.5357
4.5970 0.7937 1.5357
6.1845 9.9878 1.5357
9.9878 4.5970 1.5357
```

Results
Formation enthalpy at 0 K (meV per atom): 1205
Relative energy among the computed polymorphs (eV/atom): 0.453
E_tot (eV for the cell shown): -35.803



[16]
DFT (PBE-GGA) results for a relaxed TiTcGe4 crystal.

POSCAR file:
```
TiTcGe4
1.0
-3.1002 3.1002 5.2610
3.1002 -3.1002 5.2610
3.1002 3.1002 -5.2610
Ti Tc Ge
2 2 8
Cartesian
0.0000 0.0000 0.0000
0.0000 0.0000 5.2610
0.0000 0.0000 2.6305
0.0000 0.0000 7.8915
4.0109 0.9107 -1.4221
0.9107 2.1895 -1.4221
4.0109 0.9107 1.4221
0.9107 2.1895 1.4221
2.1895 0.9107 3.8390
-0.9107 2.1895 3.8390
2.1895 0.9107 6.6831
-0.9107 2.1895 6.6831
```

Results
Formation enthalpy at 0 K (meV per atom): -264
Relative energy among the computed polymorphs (eV/atom): 0.000
E_tot (eV for the cell shown): -76.631



[17]
DFT (PBE-GGA) results for a relaxed NdGa2HgPd5 crystal.

POSCAR file:
```
NdGa2HgPd5
1.0
4.1996 0.0000 0.0000
0.0000 4.1996 0.0000
0.0000 0.0000 9.4352
Nd Ga Hg Pd
1 2 1 5
Cartesian
0.0000 0.0000 0.0000
2.0998 2.0998 3.4883
2.0998 2.0998 5.9469
0.0000 0.0000 4.7176
0.0000 2.0998 2.1342
0.0000 2.0998 7.3010
2.0998 0.0000 2.1342
2.0998 0.0000 7.3010
2.0998 2.0998 0.0000
```

Results
Formation enthalpy at 0 K (meV per atom): -514
E_tot (eV for the cell shown): -41.717



[18]
DFT (PBE-GGA) results for a relaxed RbN2F7 crystal.

POSCAR file:
```
RbN2F7
1.0
2.2742 -10.5587 0.0000
2.2742 10.5587 0.0000
0.0000 0.0000 3.7799
Rb N F
1 2 7
Cartesian
0.0000 0.0000 0.0000
2.2742 2.9688 1.8899
2.2742 -2.9688 1.8899
1.2127 3.8263 1.8899
2.2742 2.5604 0.0000
1.2127 -3.8263 1.8899
2.2742 0.0000 1.8899
3.3358 3.8263 1.8899
2.2742 -2.5604 0.0000
3.3358 -3.8263 1.8899
```

Results
E_tot (eV for the cell shown): -37.561



[19]
DFT (PBE-GGA) results for a relaxed La8Tb4Nd crystal.

POSCAR file:
```
La8Tb4Nd
1.0
5.9653 3.4441 3.9759
-5.9653 3.4441 3.9759
0.0000 -6.8882 3.9759
La Tb Nd
8 4 1
Cartesian
0.0000 -3.4699 4.0335
-3.0050 1.7349 4.0335
0.0000 0.0000 2.8763
-3.0050 -1.7349 7.8941
3.0050 1.7349 4.0335
0.0000 0.0000 9.0513
3.0050 -1.7349 7.8941
0.0000 3.4699 7.8941
0.0000 0.0000 0.0000
-2.9827 -1.7220 3.9759
-2.9827 1.7220 7.9517
0.0000 3.4441 3.9759
0.0000 0.0000 5.9638
```

Results
Formation enthalpy at 0 K (meV per atom): 385
E_tot (eV for the cell shown): -57.706



[20]
DFT (PBE-GGA) results for a relaxed Y6Mg5Cd crystal.

POSCAR file:
```
Y6Mg5Cd
1.0
5.3729 0.0000 0.0000
0.0000 7.5528 0.0000
-2.6719 0.0000 8.0662
Y Mg Cd
6 5 1
Cartesian
0.0000 1.8782 0.0000
0.0000 5.6746 0.0000
0.0073 1.8879 5.3939
0.0073 5.6649 5.3939
2.6937 1.8879 2.6723
2.6937 5.6649 2.6723
0.0116 3.7764 2.7019
0.0071 0.0000 2.7376
2.6864 3.7764 0.0000
2.6939 0.0000 5.3287
2.6894 3.7764 5.3644
2.6864 0.0000 0.0000
```

Results
Formation enthalpy at 0 K (meV per atom): -151
E_tot (eV for the cell shown): -49.483